Material: Na2NdMoO4
Method: DFT, GGA+U
State: relaxed

The structure in POSCAR format:
```
Na2NdMoO4
1.0
5.8207 0.0000 0.0000
0.0000 3.4457 0.0000
-1.9625 0.0000 5.5976
Na Nd Mo O
2 1 1 4
Cartesian
0.0000 0.0000 0.0000
2.9104 1.7228 0.0000
-0.9813 1.7228 2.7988
1.9291 0.0000 2.7988
0.0719 0.0000 4.0267
1.0888 1.7228 1.6220
2.7694 1.7228 3.9756
3.7862 0.0000 1.5708
```

V	14.03	A^3/atom
space group	P2/m
energy	-51.22	eV/cell